Arrangement w

DFT (PBE-GGA) results for crystalline Tb6ErPu at its relaxed geometry.

The structure in CIF format:
```
data_Tb6ErPu
_chemical_formula_sum 'Tb6 Er1 Pu1'
_symmetry_space_group_name_H-M 'P 1'
_symmetry_Int_Tables_number 1
_symmetry_space_group_name_Hall 'P 1'
_cell_length_a 6.8334
_cell_length_b 6.4314
_cell_length_c 6.8926
_cell_angle_alpha 102.08
_cell_angle_beta 58.74
_cell_angle_gamma 93.08
loop_
_atom_site_label
_atom_site_type_symbol
_atom_site_fract_x
_atom_site_fract_y
_atom_site_fract_z
_atom_site_occupancy
Tb1 Tb 0.0914 0.7419 0.4873 1
Tb2 Tb 0.5663 0.7725 0.5312 1
Tb3 Tb 0.4337 0.2275 0.4688 1
Tb4 Tb 0.9086 0.2581 0.5127 1
Tb5 Tb 0.5614 0.7511 0.0027 1
Tb6 Tb 0.4386 0.2489 0.9973 1
Er1 Er 0.0000 0.5000 0.0000 1
Pu1 Pu 0.0000 0.0000 0.0000 1
```

Computed properties:
The density of states at the Fermi level is 1.84 states/eV per atom. The calculation puts the total magnetization at 6.4 μB/f.u.

---

Arrangement x

DFT (PBE-GGA) results for crystalline Tb6ErPu at its relaxed geometry.

The structure in CIF format:
```
data_Tb6ErPu
_chemical_formula_sum 'Tb6 Er1 Pu1'
_symmetry_space_group_name_H-M 'P 1'
_symmetry_Int_Tables_number 1
_symmetry_space_group_name_Hall 'P 1'
_cell_length_a 6.9515
_cell_length_b 6.9492
_cell_length_c 7.0045
_cell_angle_alpha 60.26
_cell_angle_beta 75.90
_cell_angle_gamma 60.58
loop_
_atom_site_label
_atom_site_type_symbol
_atom_site_fract_x
_atom_site_fract_y
_atom_site_fract_z
_atom_site_occupancy
Tb1 Tb 0.7476 0.4883 0.5617 1
Tb2 Tb 0.7476 0.0500 0.4383 1
Tb3 Tb 0.2524 0.9500 0.5617 1
Tb4 Tb 0.2524 0.5117 0.4383 1
Tb5 Tb 0.7396 0.7352 0.0000 1
Tb6 Tb 0.2604 0.2648 0.0000 1
Er1 Er 0.0000 0.0000 0.0000 1
Pu1 Pu 0.5000 0.5000 0.0000 1
```

Computed properties:
The density of states at the Fermi level is 1.54 states/eV per atom. The calculation puts the total magnetization at 7.7 μB/f.u.

---

Tell me which of them is the most stable. Sure, it is arrangement w.

---

Arrangement w

DFT (PBE-GGA) results for crystalline Tb12Er7Pu at its relaxed geometry.

The structure in CIF format:
```
data_Tb12Er7Pu
_chemical_formula_sum 'Tb12 Er7 Pu1'
_symmetry_space_group_name_H-M 'P 1'
_symmetry_Int_Tables_number 1
_symmetry_space_group_name_Hall 'P 1'
_cell_length_a 9.7899
_cell_length_b 9.7899
_cell_length_c 9.7899
_cell_angle_alpha 109.47
_cell_angle_beta 109.47
_cell_angle_gamma 109.47
loop_
_atom_site_label
_atom_site_type_symbol
_atom_site_fract_x
_atom_site_fract_y
_atom_site_fract_z
_atom_site_occupancy
Tb1 Tb 0.4954 0.7477 0.7477 1
Tb2 Tb 0.0000 0.7477 0.2523 1
Tb3 Tb 0.5046 0.2523 0.2523 1
Tb4 Tb 0.0000 0.2523 0.7477 1
Tb5 Tb 0.7477 0.0000 0.2523 1
Tb6 Tb 0.7477 0.4954 0.7477 1
Tb7 Tb 0.2523 0.0000 0.7477 1
Tb8 Tb 0.2523 0.5046 0.2523 1
Tb9 Tb 0.7477 0.7477 0.4954 1
Tb10 Tb 0.2523 0.2523 0.5046 1
Tb11 Tb 0.7477 0.2523 0.0000 1
Tb12 Tb 0.2523 0.7477 0.0000 1
Er1 Er 0.5000 0.5000 0.0000 1
Er2 Er 0.0000 0.5000 0.5000 1
Er3 Er 0.5000 0.0000 0.5000 1
Er4 Er 0.5000 0.5000 0.5000 1
Er5 Er 0.0000 0.0000 0.5000 1
Er6 Er 0.5000 0.0000 0.0000 1
Er7 Er 0.0000 0.5000 0.0000 1
Pu1 Pu 0.0000 0.0000 0.0000 1
```

Computed properties:
The density of states at the Fermi level is 1.82 states/eV per atom. The calculation puts the total magnetization at 6.4 μB/f.u.

---

Arrangement x

DFT (PBE-GGA) results for crystalline Tb12Er7Pu at its relaxed geometry.

The structure in CIF format:
```
data_Tb12Er7Pu
_chemical_formula_sum 'Tb12 Er7 Pu1'
_symmetry_space_group_name_H-M 'P 1'
_symmetry_Int_Tables_number 1
_symmetry_space_group_name_Hall 'P 1'
_cell_length_a 8.6417
_cell_length_b 8.6417
_cell_length_c 8.6417
_cell_angle_alpha 90.77
_cell_angle_beta 90.77
_cell_angle_gamma 90.77
loop_
_atom_site_label
_atom_site_type_symbol
_atom_site_fract_x
_atom_site_fract_y
_atom_site_fract_z
_atom_site_occupancy
Tb1 Tb 0.7754 0.2324 0.6258 1
Tb2 Tb 0.7676 0.3742 0.2246 1
Tb3 Tb 0.4525 0.1238 0.3500 1
Tb4 Tb 0.8762 0.6500 0.5475 1
Tb5 Tb 0.3742 0.2246 0.7676 1
Tb6 Tb 0.6500 0.5475 0.8762 1
Tb7 Tb 0.3500 0.4525 0.1238 1
Tb8 Tb 0.6258 0.7754 0.2324 1
Tb9 Tb 0.1238 0.3500 0.4525 1
Tb10 Tb 0.5475 0.8762 0.6500 1
Tb11 Tb 0.2324 0.6258 0.7754 1
Tb12 Tb 0.2246 0.7676 0.3742 1
Er1 Er 0.9741 0.6745 0.0674 1
Er2 Er 0.3255 0.9326 0.0259 1
Er3 Er 0.9326 0.0259 0.3255 1
Er4 Er 0.5000 0.5000 0.5000 1
Er5 Er 0.0674 0.9741 0.6745 1
Er6 Er 0.6745 0.0674 0.9741 1
Er7 Er 0.0259 0.3255 0.9326 1
Pu1 Pu 0.0000 0.0000 0.0000 1
```

Computed properties:
The density of states at the Fermi level is 1.97 states/eV per atom. The calculation puts the total magnetization at 4.2 μB/f.u.

---

Tell me which of them is the most stable. Sure, it is arrangement x.

---

Arrangement w

DFT (PBE-GGA) results for crystalline TbEr6Pu at its relaxed geometry.

The structure in CIF format:
```
data_TbEr6Pu
_chemical_formula_sum 'Tb1 Er6 Pu1'
_symmetry_space_group_name_H-M 'P 1'
_symmetry_Int_Tables_number 1
_symmetry_space_group_name_Hall 'P 1'
_cell_length_a 5.6070
_cell_length_b 7.0879
_cell_length_c 7.0876
_cell_angle_alpha 120.00
_cell_angle_beta 90.00
_cell_angle_gamma 90.00
loop_
_atom_site_label
_atom_site_type_symbol
_atom_site_fract_x
_atom_site_fract_y
_atom_site_fract_z
_atom_site_occupancy
Tb1 Tb 0.0000 0.8305 0.6610 1
Er1 Er 0.0000 0.8306 0.1683 1
Er2 Er 0.0000 0.3378 0.1683 1
Er3 Er 0.0000 0.3336 0.6671 1
Er4 Er 0.5000 0.6683 0.8349 1
Er5 Er 0.5000 0.1667 0.8349 1
Er6 Er 0.5000 0.1663 0.3327 1
Pu1 Pu 0.5000 0.6663 0.3327 1
```

Computed properties:
The density of states at the Fermi level is 2.48 states/eV per atom. The calculation puts the total magnetization at 6.7 μB/f.u.

---

Arrangement x

DFT (PBE-GGA) results for crystalline TbEr6Pu at its relaxed geometry.

The structure in CIF format:
```
data_TbEr6Pu
_chemical_formula_sum 'Tb1 Er6 Pu1'
_symmetry_space_group_name_H-M 'P 1'
_symmetry_Int_Tables_number 1
_symmetry_space_group_name_Hall 'P 1'
_cell_length_a 6.8833
_cell_length_b 6.9058
_cell_length_c 6.9404
_cell_angle_alpha 60.16
_cell_angle_beta 75.82
_cell_angle_gamma 60.51
loop_
_atom_site_label
_atom_site_type_symbol
_atom_site_fract_x
_atom_site_fract_y
_atom_site_fract_z
_atom_site_occupancy
Tb1 Tb 0.0000 0.0000 0.0000 1
Er1 Er 0.7470 0.4872 0.5574 1
Er2 Er 0.7470 0.0446 0.4426 1
Er3 Er 0.2530 0.9554 0.5574 1
Er4 Er 0.2530 0.5128 0.4426 1
Er5 Er 0.7396 0.7365 0.0000 1
Er6 Er 0.2604 0.2635 0.0000 1
Pu1 Pu 0.5000 0.5000 0.0000 1
```

Computed properties:
The density of states at the Fermi level is 1.69 states/eV per atom. The calculation puts the total magnetization at 7.7 μB/f.u.

---

Tell me which of them is the most stable. Sure, it is arrangement w.

---

Arrangement w

DFT (PBE-GGA) results for crystalline ErPuTc2 at its relaxed geometry.

The structure in CIF format:
```
data_ErPuTc2
_chemical_formula_sum 'Er1 Pu1 Tc2'
_symmetry_space_group_name_H-M 'P 1'
_symmetry_Int_Tables_number 1
_symmetry_space_group_name_Hall 'P 1'
_cell_length_a 3.3521
_cell_length_b 3.3521
_cell_length_c 6.8903
_cell_angle_alpha 90.00
_cell_angle_beta 90.00
_cell_angle_gamma 90.00
loop_
_atom_site_label
_atom_site_type_symbol
_atom_site_fract_x
_atom_site_fract_y
_atom_site_fract_z
_atom_site_occupancy
Er1 Er 0.5000 0.5000 0.5000 1
Tc1 Tc 0.0000 0.0000 0.7799 1
Tc2 Tc 0.0000 0.0000 0.2201 1
Pu1 Pu 0.5000 0.5000 0.0000 1
```

Computed properties:
The density of states at the Fermi level is 1.81 states/eV per atom. The calculation puts the total magnetization at 3.0 μB/f.u.

---

Arrangement x

DFT (PBE-GGA) results for crystalline ErPuTc2 at its relaxed geometry.

The structure in CIF format:
```
data_ErPuTc2
_chemical_formula_sum 'Er1 Pu1 Tc2'
_symmetry_space_group_name_H-M 'P 1'
_symmetry_Int_Tables_number 1
_symmetry_space_group_name_Hall 'P 1'
_cell_length_a 4.7681
_cell_length_b 4.7681
_cell_length_c 4.7681
_cell_angle_alpha 60.00
_cell_angle_beta 60.00
_cell_angle_gamma 60.00
loop_
_atom_site_label
_atom_site_type_symbol
_atom_site_fract_x
_atom_site_fract_y
_atom_site_fract_z
_atom_site_occupancy
Er1 Er 0.5000 0.5000 0.5000 1
Tc1 Tc 0.2500 0.2500 0.2500 1
Tc2 Tc 0.7500 0.7500 0.7500 1
Pu1 Pu 0.0000 0.0000 0.0000 1
```

Computed properties:
The density of states at the Fermi level is 1.36 states/eV per atom. The calculation puts the total magnetization at 3.1 μB/f.u.

---

Tell me which of them is the most stable. Sure, it is arrangement w.